# Ba7Sc6Al2O19 (GGA-PBEsol, optimized geometry)
# Volume = 15.0 A^3/atom
# E_form (uncorrected) = -3.1799 eV per atom
# Crystal system = hexagonal
# Energy = -0.5852 Ry per atom
data_Ba7Sc6Al2O19
_chemical_formula_sum 'Ba14 Sc12 Al4 O38'
_space_group_name_H-M_alt 'P 63/m m c'
_space_group_IT_number 194
_space_group_name_Hall '-P 6c 2c'
_cell_length_a 5.7807
_cell_length_b 5.7807
_cell_length_c 35.2854
_cell_angle_alpha 90.00
_cell_angle_beta 90.00
_cell_angle_gamma 120.00
loop_
_atom_site_label
_atom_site_type_symbol
_atom_site_fract_x
_atom_site_fract_y
_atom_site_fract_z
Ba1 Ba 0.0000 0.0000 0.0533
Ba2 Ba 0.0000 0.0000 0.2500
Ba3 Ba 0.3333 0.6667 0.1067
Ba4 Ba 0.3333 0.6667 0.6721
Sc1 Sc 0.0000 0.0000 0.1482
Sc2 Sc 0.3333 0.6667 0.0051
Sc3 Sc 0.3333 0.6667 0.5786
Al1 Al 0.3333 0.6667 0.2010
O1 O 0.0093 0.5047 0.5380
O2 O 0.1660 0.3320 0.6121
O3 O 0.1674 0.3348 0.1847
O4 O 0.3333 0.6667 0.2500